Entry 1:
DFT (SCAN) results for Sc2TiO5 at its PBEsol-relaxed geometry.

a = 3.8382 Å, b = 10.1286 Å, c = 10.1970 Å
α = 90.00°, β = 90.00°, γ = 90.00°
Last column: nearest neighbours and their distance in Å.
Space group Cmc2_1 (No. 36)
Symmetry-distinct sites (fractional):
Sc  0.0000  0.1372  0.0000 [4 per cell]  5 O 1.99-2.19
Sc  0.0000  0.1951  0.3124 [4 per cell]  6 O 2.03-2.20
Ti  0.0000  0.1336  0.6219 [4 per cell]  4 O 1.84-1.99
O  0.0000  0.0373  0.1824 [4 per cell]  1 Ti 1.84
O  0.0000  0.0535  0.4537 [4 per cell]  1 Ti 1.90, 2 Sc 1.99-2.03
O  0.0000  0.2281  0.8048 [4 per cell]  3 Sc 2.07-2.19, 1 Ti 2.10
O  0.0000  0.3005  0.4954 [4 per cell]  3 Sc 2.02-2.15, 1 Ti 2.13
O  0.0000  0.3146  0.1327 [4 per cell]  2 Ti 1.99, 1 Sc 2.20

Calculated values
**Final energy**: -13.1431 eV per atom
**Magnetic moment**: 0.000 μB per formula unit

***

Entry 2:
DFT (SCAN) results for ScTi3O at its PBEsol-relaxed geometry.

a = 4.5578 Å, b = 4.5578 Å, c = 4.5578 Å
α = 90.00°, β = 90.00°, γ = 90.00°
Last column: nearest neighbours and their distance in Å.
Space group Pm-3m (No. 221)
Symmetry-distinct sites (fractional):
Sc  0.0000  0.0000  0.0000 [1 per cell]  6 Ti 2.28
Ti  0.0000  0.0000  0.5000 [3 per cell]  2 Sc 2.28
O  0.5000  0.5000  0.5000 [1 per cell]  12 Ti 3.22

Calculated values
**Offset from the most stable computed form**: 2810.0 meV/atom
**Magnetic moment**: 2.392 μB per formula unit

***

Entry 3:
DFT (SCAN) results for Sc4Ti3O12 at its PBEsol-relaxed geometry.

a = 5.8816 Å, b = 5.9395 Å, c = 6.0321 Å
α = 99.38°, β = 99.47°, γ = 99.12°
Last column: nearest neighbours and their distance in Å.
Space group P1 (No. 1)
Symmetry-distinct sites (fractional):
Sc  0.0000  0.0000  0.0000 [1 per cell]  6 O 2.04-2.20
Sc  0.0865  0.5574  0.2504 [1 per cell]  6 O 2.04-2.22
Sc  0.5365  0.2991  0.1940 [1 per cell]  6 O 2.04-2.14
Sc  0.6956  0.8251  0.4811 [1 per cell]  6 O 2.04-2.24
Ti  0.2351  0.0810  0.5360 [1 per cell]  6 O 1.88-2.08
Ti  0.3790  0.6946  0.8723 [1 per cell]  6 O 1.86-2.03
Ti  0.7564  0.3945  0.7301 [1 per cell]  5 O 1.93-2.05
O  0.0654  0.5962  0.8988 [1 per cell]  2 Ti 1.89-2.02
O  0.2036  0.2594  0.2980 [1 per cell]  1 Ti 1.92, 2 Sc 2.04-2.14
O  0.2995  0.7717  0.5569 [1 per cell]  2 Ti 1.95-2.03, 1 Sc 2.14
O  0.3508  0.9987  0.9810 [1 per cell]  1 Ti 1.86, 1 Sc 2.05
O  0.4275  0.3694  0.7601 [1 per cell]  3 Ti 1.96-2.04
O  0.4627  0.6299  0.1817 [1 per cell]  1 Ti 1.97, 2 Sc 2.09-2.12
O  0.5700  0.1251  0.4748 [1 per cell]  2 Sc 2.04-2.12, 2 Ti 2.05
O  0.7014  0.7479  0.8105 [1 per cell]  2 Ti 1.98-2.16, 2 Sc 2.11-2.14
O  0.8072  0.2811  0.0227 [1 per cell]  1 Ti 1.98, 2 Sc 2.04-2.16
O  0.8172  0.5023  0.4570 [1 per cell]  1 Ti 1.93, 2 Sc 2.14
O  0.9642  0.8690  0.2868 [1 per cell]  3 Sc 2.04-2.13, 1 Ti 2.08
O  0.9822  0.1133  0.6846 [1 per cell]  1 Ti 1.88

Calculated values
**Offset from the most stable computed form**: 4.7 meV/atom
**Magnetic moment**: 0.000 μB per formula unit

***

Entry 4:
DFT (SCAN) results for Sc4Ti3O12 at its PBEsol-relaxed geometry.

a = 5.8590 Å, b = 6.0107 Å, c = 12.0277 Å
α = 99.57°, β = 99.90°, γ = 98.69°
Last column: nearest neighbours and their distance in Å.
Space group P-1 (No. 2)
Symmetry-distinct sites (fractional):
Sc  0.1148  0.1357  0.4070 [2 per cell]  6 O 2.03-2.19
Sc  0.1980  0.3815  0.1837 [2 per cell]  6 O 2.02-2.22
Sc  0.1977  0.3853  0.6829 [2 per cell]  6 O 2.06-2.24
Sc  0.3657  0.6925  0.9463 [2 per cell]  6 O 2.05-2.23
Ti  0.1069  0.1548  0.9136 [2 per cell]  5 O 1.90-2.08
Ti  0.3449  0.6602  0.4434 [2 per cell]  6 O 1.88-2.07
Ti  0.4930  0.9879  0.7401 [2 per cell]  5 O 1.86-2.05
O  0.0688  0.8271  0.9625 [2 per cell]  2 Ti 1.95-2.14, 1 Sc 2.05
O  0.0812  0.4099  0.8403 [2 per cell]  1 Ti 1.90, 1 Sc 2.11
O  0.0820  0.4206  0.3406 [2 per cell]  1 Ti 2.01, 3 Sc 2.03-2.16
O  0.0947  0.8169  0.4599 [2 per cell]  1 Ti 1.88
O  0.1736  0.0258  0.2021 [2 per cell]  2 Ti 1.98-2.00, 1 Sc 2.17
O  0.1908  0.0472  0.6964 [2 per cell]  1 Ti 1.86, 2 Sc 2.04-2.06
O  0.3142  0.4242  0.0383 [2 per cell]  3 Sc 2.02-2.12, 1 Ti 2.08
O  0.3232  0.4245  0.5362 [2 per cell]  2 Ti 1.95-2.07, 2 Sc 2.06-2.17
O  0.4125  0.6918  0.2931 [2 per cell]  2 Ti 1.95-2.05, 1 Sc 2.17
O  0.4149  0.0871  0.9053 [2 per cell]  2 Ti 1.92-2.12, 1 Sc 2.12
O  0.4295  0.6872  0.7778 [2 per cell]  1 Ti 1.93, 2 Sc 2.12
O  0.4732  0.1250  0.4107 [2 per cell]  2 Ti 1.88-2.02, 1 Sc 2.10

Calculated values
**Offset from the most stable computed form**: 0.0 meV/atom
**Magnetic moment**: 0.000 μB per formula unit

***

Entry 5:
DFT (SCAN) results for ScTi3O at its PBEsol-relaxed geometry.

a = 4.1923 Å, b = 4.1923 Å, c = 4.1923 Å
α = 90.00°, β = 90.00°, γ = 90.00°
Last column: nearest neighbours and their distance in Å.
Space group Pm-3m (No. 221)
Symmetry-distinct sites (fractional):
Sc  0.0000  0.0000  0.0000 [1 per cell]  12 Ti 2.96
Ti  0.0000  0.5000  0.5000 [3 per cell]  2 O 2.10
O  0.5000  0.5000  0.5000 [1 per cell]  6 Ti 2.10

Calculated values
**Offset from the most stable computed form**: 0.0 meV/atom
**Magnetic moment**: 0.000 μB per formula unit

***

Entry 6:
DFT (SCAN) results for Sc2Ti2O7 at its PBEsol-relaxed geometry.

a = 6.3412 Å, b = 8.8803 Å, c = 5.1683 Å
α = 90.00°, β = 100.20°, γ = 90.00°
Last column: nearest neighbours and their distance in Å.
Space group C2/m (No. 12)
Symmetry-distinct sites (fractional):
Sc  0.0000  0.1871  0.0000 [4 per cell]  6 O 2.04-2.16
Ti  0.2443  0.0000  0.6057 [4 per cell]  4 O 1.80-1.90
O  0.0000  0.5000  0.5000 [2 per cell]  2 Ti 1.80
O  0.0674  0.0000  0.2678 [4 per cell]  1 Ti 1.90
O  0.2282  0.3272  0.1989 [8 per cell]  1 Ti 1.83, 1 Sc 2.04

Calculated values
**Final energy**: -13.0442 eV per atom
**Magnetic moment**: 0.000 μB per formula unit